Entry 1:
Here is a relaxed BaTh2TcN4 crystal from the Alexandria database. Energies are from GGA-PBE.

It has space group Cmcm (No. 63), with a = 3.6745 Å, b = 12.4902 Å, c = 12.6447 Å, α = 90.00°, β = 90.00° and γ = 90.00°. The asymmetric unit holds Ba at (0.0000, 0.0730, 0.2500), Th at (0.0000, 0.3663, 0.0497), Tc at (0.0000, 0.1888, 0.7500), N at (0.0000, 0.0000, 0.0000), N at (0.0000, 0.2503, 0.6038) and N at (0.0000, 0.3888, 0.2500).

The value obtained for the total energy is -8.567 eV per atom.


Entry 2:
Here is a relaxed Cs2Tl12In7 crystal from the Alexandria database. Energies are from GGA-PBE.

It has space group P-3 (No. 147), with a = 12.7615 Å, b = 12.7615 Å, c = 5.0262 Å, α = 90.00°, β = 90.00° and γ = 120.00°. The asymmetric unit holds Cs at (0.3333, 0.6667, 0.2490), Tl at (0.0769, 0.4349, 0.7503), Tl at (0.1261, 0.2551, 0.2316), In at (0.0000, 0.0000, 0.5000) and In at (0.0944, 0.6882, 0.7404).

As for the energy of formation from the pure elements: -0.31 kcal/mol of atoms.


Entry 3:
Here is a relaxed CaLa2Hg crystal from the Alexandria database. Energies are from GGA-PBE.

It has space group I-4m2 (No. 119), with a = 4.9251 Å, b = 4.9251 Å, c = 10.5737 Å, α = 90.00°, β = 90.00° and γ = 90.00°. The asymmetric unit holds Ca at (0.0000, 0.0000, 0.0000), La at (0.0000, 0.0000, 0.5000), La at (0.0000, 0.5000, 0.2500) and Hg at (0.0000, 0.5000, 0.7500).

As for the energy of formation from the pure elements: -2.74 kcal/mol of atoms.


Entry 4:
Here is a relaxed Li5Zn4Cd crystal from the Alexandria database. Energies are from GGA-PBE.

It has space group P4/mmm (No. 123), with a = 3.1861 Å, b = 3.1861 Å, c = 15.3642 Å, α = 90.00°, β = 90.00° and γ = 90.00°. The asymmetric unit holds Li at (0.0000, 0.0000, 0.0000), Li at (0.0000, 0.0000, 0.1923), Li at (0.0000, 0.0000, 0.3853), Zn at (0.5000, 0.5000, 0.0966), Zn at (0.5000, 0.5000, 0.2861) and Cd at (0.5000, 0.5000, 0.5000).

As for the energy of formation from the pure elements: -3.88 kcal/mol of atoms.


Entry 5:
Here is a relaxed CaEu2Tm crystal from the Alexandria database. Energies are from GGA-PBE.

It has space group R-3m (No. 166, hexagonal axes), with a = 3.7471 Å, b = 3.7471 Å, c = 37.4679 Å, α = 90.00°, β = 90.00° and γ = 120.00°. The asymmetric unit holds Ca at (0.0000, 0.0000, 0.0000), Eu at (0.0000, 0.0000, 0.2459) and Tm at (0.0000, 0.0000, 0.5000).

The polymorph energy (0 for the lowest one) is 0.0000 eV/atom. As for the energy of formation from the pure elements: 1.72 kcal/mol of atoms.


Entry 6:
Here is a relaxed Fe2HgMo crystal from the Alexandria database. Energies are from GGA-PBE.

It has space group R3m (No. 160, hexagonal axes), with a = 2.8433 Å, b = 2.8433 Å, c = 26.2847 Å, α = 90.00°, β = 90.00° and γ = 120.00°. The asymmetric unit holds Fe at (0.0000, 0.0000, 0.0000), Fe at (0.0000, 0.0000, 0.2645), Hg at (0.0000, 0.0000, 0.5083) and Mo at (0.0000, 0.0000, 0.7433).

As for the energy of formation from the pure elements: 10.10 kcal/mol of atoms.


Entry 7:
Here is a relaxed KTiNi2 crystal from the Alexandria database. Energies are from GGA-PBE.

It has space group I-42d (No. 122), with a = 7.1741 Å, b = 7.1741 Å, c = 6.3112 Å, α = 90.00°, β = 90.00° and γ = 90.00°. The asymmetric unit holds K at (0.0000, 0.0000, 0.0000), Ti at (0.0000, 0.0000, 0.5000) and Ni at (0.1828, 0.2500, 0.6250).

The polymorph energy (0 for the lowest one) is 0.0000 eV/atom. As for the energy of formation from the pure elements: 17.36 kcal/mol of atoms.


Entry 8:
Here is a relaxed ScCr2Rh crystal from the Alexandria database. Energies are from GGA-PBE.

It has space group I4/mmm (No. 139), with a = 3.5859 Å, b = 3.5859 Å, c = 9.0301 Å, α = 90.00°, β = 90.00° and γ = 90.00°. The asymmetric unit holds Sc at (0.0000, 0.0000, 0.0000), Cr at (0.0000, 0.5000, 0.2500) and Rh at (0.0000, 0.0000, 0.5000).

The polymorph energy (0 for the lowest one) is 0.2020 eV/atom. As for the energy of formation from the pure elements: 1.09 kcal/mol of atoms.


Entry 9:
Here is a relaxed Ca2AsPt crystal from the Alexandria database. Energies are from GGA-PBE.

It has space group P4/mmm (No. 123), with a = 3.4411 Å, b = 3.4411 Å, c = 7.6181 Å, α = 90.00°, β = 90.00° and γ = 90.00°. The asymmetric unit holds Ca at (0.0000, 0.0000, 0.2372), As at (0.5000, 0.5000, 0.5000) and Pt at (0.5000, 0.5000, 0.0000).

As for the energy of formation from the pure elements: -20.05 kcal/mol of atoms.


| no. | V (Å³ per atom) | total magnetization (μB per atom) |
| --- | --- | --- |
| 1 | 18.135 | 0.0000 |
| 2 | 33.757 | 0.0000 |
| 3 | 32.061 | 0.0000 |
| 4 | 15.596 | 0.0000 |
| 5 | 37.966 | 3.8284 |
| 6 | 15.336 | 1.0682 |
| 7 | 20.301 | 0.0000 |
| 8 | 14.514 | 0.0002 |
| 9 | 22.552 | 0.0000 |